DFT (PBE-GGA) results for a relaxed Ho8Bi2Pb crystal.

Unit cell a=5.1716 b=6.9339 c=9.6084 alpha=87.49 beta=105.61 gamma=90.00
Last column: nearest neighbours and their distance in Å.
Fractional positions:
Ho: 0.2158 0.3729 0.4316  1 Bi 3.21, 5 Ho 3.41-3.52
Ho: 0.4078 0.4393 0.8156  1 Pb 3.42, 9 Ho 3.47-3.66, 2 Bi 3.48
Ho: 0.6623 0.0876 0.3245  1 Pb 3.09, 3 Bi 3.17-3.27, 2 Ho 3.43
Ho: 0.0330 0.2548 0.0661  2 Pb 3.21, 4 Ho 3.52-3.56
Ho: 0.9670 0.7452 0.9339  2 Pb 3.21, 4 Ho 3.52-3.56
Ho: 0.3377 0.9124 0.6755  1 Pb 3.09, 3 Bi 3.17-3.27, 2 Ho 3.43
Ho: 0.7842 0.6271 0.5684  1 Bi 3.21, 5 Ho 3.41-3.52
Ho: 0.5922 0.5607 0.1844  1 Pb 3.42, 9 Ho 3.47-3.66, 2 Bi 3.48
Bi: 0.1660 0.8227 0.3320  6 Ho 3.17-3.48
Bi: 0.8340 0.1773 0.6680  6 Ho 3.17-3.48
Pb: 0.5000 0.0000 0.0000  8 Ho 3.09-3.42

## Properties
**Space group**: C2/m
**Magnetic moment**: 0.0 μB per formula unit
**Calculated formation energy**: -326.0 meV/atom